Compound: CdCu3
Source: Alexandria via LeMat-Bulk
Functional: meta-GGA SCAN
Structure: single point on PBEsol structure

Cell lengths 5.974, 5.974, 5.974 Å; angles 90.00, 90.00, 90.00 degrees
Element x y z (fractional)
1 Cd 0.000 0.000 0.000
2 Cd 0.000 0.500 0.500
3 Cd 0.500 0.000 0.500
4 Cd 0.500 0.500 0.000
5 Cu 0.000 0.000 0.500
6 Cu 0.000 0.500 0.000
7 Cu 0.250 0.250 0.250
8 Cu 0.250 0.250 0.750
9 Cu 0.250 0.750 0.250
10 Cu 0.250 0.750 0.750
11 Cu 0.500 0.000 0.000
12 Cu 0.500 0.500 0.500
13 Cu 0.750 0.250 0.250
14 Cu 0.750 0.250 0.750
15 Cu 0.750 0.750 0.250
16 Cu 0.750 0.750 0.750

Values from the calculation:
uncorrected energy	-302.368	eV for the cell shown
total moment	0.000	μB per cell
symmetry	Fm-3m (225)
crystal system	cubic
ΔE_f	0.11	eV per atom
D(E_F)	1.09	states/eV/f.u.



Compound: NbSb2TeN
Source: Alexandria via LeMat-Bulk
Functional: meta-GGA SCAN
Structure: single point on PBEsol structure

Cell lengths 4.644, 4.644, 4.526 Å; angles 90.00, 90.00, 90.00 degrees
Element x y z (fractional)
1 Nb 0.000 0.000 0.000
2 Sb 0.000 0.500 0.500
3 Sb 0.500 0.000 0.500
4 Te 0.500 0.500 0.000
5 N 0.500 0.500 0.500

Values from the calculation:
uncorrected energy	-150.564	eV for the cell shown
total moment	1.761	μB per cell
E_form (uncorrected)	0.7260	eV per atom
symmetry	P4/mmm (123)
crystal system	tetragonal
energy above the most stable polymorph in this dataset	0.0	meV per atom
D(E_F)	2.38	states/eV/f.u.



Compound: YGa2SbO
Source: Alexandria via LeMat-Bulk
Functional: meta-GGA SCAN
Structure: single point on PBEsol structure

Cell lengths 5.595, 5.595, 5.609 Å; angles 90.00, 90.00, 90.00 degrees
Element x y z (fractional)
1 Y 0.000 0.000 0.000
2 Ga 0.000 0.500 0.000
3 Ga 0.500 0.000 0.000
4 Sb 0.000 0.000 0.500
5 O 0.500 0.500 0.500

Values from the calculation:
uncorrected energy	-99.182	eV for the cell shown
total moment	1.976	μB per cell
E_form (uncorrected)	0.9690	eV per atom
symmetry	P4/mmm (123)
crystal system	tetragonal
D(E_F)	3.32	states/eV/f.u.



Compound: LiScOF2
Source: Alexandria via LeMat-Bulk
Functional: meta-GGA SCAN
Structure: single point on PBEsol structure

Cell lengths 4.076, 4.076, 3.988 Å; angles 90.00, 90.00, 90.00 degrees
Element x y z (fractional)
1 Li 0.000 0.000 0.000
2 Sc 0.500 0.500 0.500
3 O 0.500 0.500 0.000
4 F 0.000 0.500 0.500
5 F 0.500 0.000 0.500

Values from the calculation:
uncorrected energy	-46.393	eV for the cell shown
total moment	0.000	μB per cell
E_form (uncorrected)	-3.2910	eV per atom
symmetry	P4/mmm (123)
crystal system	tetragonal
D(E_F)	0.00	states/eV/f.u.



Compound: TaSn2BrF
Source: Alexandria via LeMat-Bulk
Functional: meta-GGA SCAN
Structure: single point on PBEsol structure

Cell lengths 5.358, 5.358, 4.862 Å; angles 90.00, 90.00, 90.00 degrees
Element x y z (fractional)
1 Ta 0.000 0.000 0.000
2 Sn 0.000 0.500 0.000
3 Sn 0.500 0.000 0.000
4 Br 0.000 0.000 0.500
5 F 0.500 0.500 0.500

Values from the calculation:
uncorrected energy	-161.517	eV for the cell shown
total moment	0.000	μB per cell
E_form (uncorrected)	-0.0183	eV per atom
symmetry	P4/mmm (123)
crystal system	tetragonal
D(E_F)	2.60	states/eV/f.u.



Compound: CaTiSN2
Source: Alexandria via LeMat-Bulk
Functional: meta-GGA SCAN
Structure: single point on PBEsol structure

Cell lengths 3.907, 3.907, 4.931 Å; angles 90.00, 90.00, 90.00 degrees
Element x y z (fractional)
1 Ca 0.000 0.000 0.000
2 Ti 0.500 0.500 0.500
3 S 0.500 0.500 0.000
4 N 0.000 0.500 0.500
5 N 0.500 0.000 0.500

Values from the calculation:
uncorrected energy	-58.211	eV for the cell shown
total moment	1.558	μB per cell
E_form (uncorrected)	-0.8614	eV per atom
symmetry	P4/mmm (123)
crystal system	tetragonal
D(E_F)	2.51	states/eV/f.u.



> Look up the uncorrected energy of the sixth one.

-58.211 eV for the cell shown



> Among the records above, which one has the lowest uncorrected energy?

CdCu3



> What is the total moment in the fourth record?

0.000 μB per cell



> What is the formula in the third record?

YGa2SbO